# SrErMg2In4 | the Alexandria database | PBE-GGA | optimized geometry
# Theoretical density ... 6025 kg/m3
# ΔE_f ... -0.2718 eV/atom
data_SrErMg2In4
_chemical_formula_sum 'Sr3 Er3 Mg6 In12'
_symmetry_space_group_name_H-M 'R -3 m'
_symmetry_Int_Tables_number 166
_symmetry_space_group_name_Hall '-R 3 2"'
_cell_length_a 5.2506
_cell_length_b 5.2506
_cell_length_c 26.4135
_cell_angle_alpha 90.00
_cell_angle_beta 90.00
_cell_angle_gamma 120.00
loop_
_atom_site_label
_atom_site_type_symbol
_atom_site_fract_x
_atom_site_fract_y
_atom_site_fract_z
Sr1 Sr 0.0000 0.0000 0.0000
Er1 Er 0.0000 0.0000 0.5000
Mg1 Mg 0.0000 0.0000 0.2484
In1 In 0.0000 0.0000 0.1271
In2 In 0.0000 0.0000 0.3806